This record from the Alexandria database describes a geometry-optimized La2ZnCo structure. The functional is PBE.

a = 3.5085 Å, b = 4.6582 Å, c = 11.3810 Å
α = 90.00°, β = 90.00°, γ = 90.00°
Last column: nearest neighbours and their distance in Å.
Space group Imm2 (No. 44)
One atom of each set of equivalent atoms:
La 0.0000 0.0000 0.0000 (multiplicity 2)  2 Co 3.15, 4 Zn 3.17, 4 La 3.27-3.51
La 0.0000 0.5000 0.2015 (multiplicity 2)  4 Co 2.93, 2 Zn 3.18, 2 La 3.27
Zn 0.0000 0.0000 0.3916 (multiplicity 2)  2 Co 2.55
Co 0.0000 0.5000 0.7296 (multiplicity 2)  2 Zn 2.55

Properties
ΔE_f   -0.079 eV per atom
Magnetization   0.02 μB/cell
Electronic total energy   -37.1 eV/cell
Fermi-level density of states   1.133 states/eV/atom



This record from the Alexandria database describes a geometry-optimized NbZnPt structure. The functional is PBE.

a = 2.8580 Å, b = 4.5983 Å, c = 7.3637 Å
α = 90.44°, β = 99.22°, γ = 90.01°
Last column: nearest neighbours and their distance in Å.
Space group P1 (No. 1)
One atom of each set of equivalent atoms:
Nb 0.0000 0.0000 0.0000 (multiplicity 1)  6 Zn 2.76-2.88, 2 Pt 2.76-3.04, 4 Nb 2.86-2.90
Nb 0.2382 0.5042 0.2368 (multiplicity 1)  2 Zn 2.73-3.03, 6 Pt 2.76-2.95, 4 Nb 2.86-2.90
Zn 0.3696 0.0065 0.6588 (multiplicity 1)  6 Pt 2.68-2.79, 4 Zn 2.83-2.91, 2 Nb 2.85-2.88
Zn 0.4934 0.4993 0.8945 (multiplicity 1)  2 Pt 2.65-2.68, 5 Nb 2.73-2.87, 4 Zn 2.83-2.91
Pt 0.7427 0.0060 0.3458 (multiplicity 1)  2 Zn 2.68-2.69, 5 Nb 2.76-2.88, 4 Pt 2.86-2.89
Pt 0.8537 0.5079 0.5850 (multiplicity 1)  6 Zn 2.65-2.79, 4 Pt 2.86-2.89, 2 Nb 2.87-2.95

Properties
ΔE_f   -0.367 eV per atom
Magnetization   0.00 μB/cell
Electronic total energy   -37.0 eV/cell
Fermi-level density of states   0.636 states/eV/atom



This record from the Alexandria database describes a geometry-optimized AgSn2Br8 structure. The functional is PBE.

a = 8.0391 Å, b = 8.0391 Å, c = 8.9768 Å
α = 90.00°, β = 90.00°, γ = 120.00°
Last column: nearest neighbours and their distance in Å.
Space group P-3m1 (No. 164)
One atom of each set of equivalent atoms:
Ag 0.0000 0.0000 0.0000 (multiplicity 1)  6 Br 2.84
Sn 0.3333 0.6667 0.2919 (multiplicity 2)  4 Br 2.52-2.58
Br 0.1584 0.3168 0.1985 (multiplicity 6)  1 Sn 2.58, 1 Ag 2.84
Br 0.3333 0.6667 0.5729 (multiplicity 2)  1 Sn 2.52

Properties
Magnetization   0.00 μB/cell
Electronic total energy   -30.0 eV/cell
Fermi-level density of states   0.284 states/eV/atom
Energy above the most stable polymorph in this dataset   6 meV/atom
Formation energy from raw total energies   -0.5250 eV per atom



This record from the Alexandria database describes a geometry-optimized Rb2CeYS4 structure. The functional is PBE.

a = 7.2197 Å, b = 4.1700 Å, c = 8.0486 Å
α = 90.00°, β = 107.36°, γ = 90.00°
Last column: nearest neighbours and their distance in Å.
Space group P2/m (No. 10)
One atom of each set of equivalent atoms:
Rb 0.0000 0.0000 0.0000 (multiplicity 1)  6 S 3.39-3.40
Rb 0.5000 0.5000 0.0000 (multiplicity 1)  6 S 3.33-3.34
Ce 0.0000 0.5000 0.5000 (multiplicity 1)  6 S 2.86-2.87
Y 0.5000 0.0000 0.5000 (multiplicity 1)  6 S 2.79-2.81
S 0.2390 0.0000 0.6950 (multiplicity 2)  1 Y 2.79, 2 Ce 2.86
S 0.2759 0.5000 0.3071 (multiplicity 2)  2 Y 2.81, 1 Ce 2.87

Properties
Magnetization   1.01 μB/cell
Electronic total energy   -45.3 eV/cell
Fermi-level density of states   0.705 states/eV/atom
Formation energy from raw total energies   -1.8056 eV per atom



This record from the Alexandria database describes a geometry-optimized BeSnMo2 structure. The functional is PBE.

a = 3.7803 Å, b = 3.7803 Å, c = 19.1707 Å
α = 90.00°, β = 90.00°, γ = 90.00°
Last column: nearest neighbours and their distance in Å.
Space group I-42d (No. 122)
One atom of each set of equivalent atoms:
Be 0.0000 0.0000 0.0000 (multiplicity 4)  4 Sn 2.67, 4 Mo 2.70
Sn 0.0000 0.0000 0.5000 (multiplicity 4)  4 Be 2.67, 4 Mo 2.79
Mo 0.2139 0.2500 0.1250 (multiplicity 8)  2 Mo 2.49, 2 Be 2.70

Properties
ΔE_f   0.592 eV per atom
Magnetization   0.00 μB/cell
Electronic total energy   -108.1 eV/cell
Fermi-level density of states   0.943 states/eV/atom
Energy above the most stable polymorph in this dataset   114 meV/atom



This record from the Alexandria database describes a geometry-optimized TbP3Ir5 structure. The functional is PBE.

a = 3.9198 Å, b = 12.1244 Å, c = 12.2858 Å
α = 90.00°, β = 90.00°, γ = 90.00°
Last column: nearest neighbours and their distance in Å.
Space group Cmcm (No. 63)
One atom of each set of equivalent atoms:
Tb 0.0000 0.1492 0.2500 (multiplicity 4)  7 P 3.16-3.41, 8 Ir 3.29-3.53
P 0.0000 0.1209 0.7500 (multiplicity 4)  6 Ir 2.37-2.48
P 0.0000 0.3941 0.5523 (multiplicity 8)  5 Ir 2.20-2.43
Ir 0.0000 0.0000 0.0000 (multiplicity 4)  4 P 2.43
Ir 0.0000 0.2153 0.5812 (multiplicity 8)  2 P 2.20-2.37
Ir 0.0000 0.4348 0.1399 (multiplicity 8)  4 P 2.34-2.48

Properties
ΔE_f   -0.570 eV per atom
Magnetization   0.00 μB/cell
Electronic total energy   -281.2 eV/cell
Fermi-level density of states   0.494 states/eV/atom



Q: Look up the magnetization of the third one.
A: 0.00 μB/cell



Q: electronic total energy of number 1 (La2ZnCo)?
A: -37.1 eV/cell



Repeat the first record exactly.
This record from the Alexandria database describes a geometry-optimized La2ZnCo structure. The functional is PBE.

a = 3.5085 Å, b = 4.6582 Å, c = 11.3810 Å
α = 90.00°, β = 90.00°, γ = 90.00°
Last column: nearest neighbours and their distance in Å.
Space group Imm2 (No. 44)
One atom of each set of equivalent atoms:
La 0.0000 0.0000 0.0000 (multiplicity 2)  2 Co 3.15, 4 Zn 3.17, 4 La 3.27-3.51
La 0.0000 0.5000 0.2015 (multiplicity 2)  4 Co 2.93, 2 Zn 3.18, 2 La 3.27
Zn 0.0000 0.0000 0.3916 (multiplicity 2)  2 Co 2.55
Co 0.0000 0.5000 0.7296 (multiplicity 2)  2 Zn 2.55

Properties
ΔE_f   -0.079 eV per atom
Magnetization   0.02 μB/cell
Electronic total energy   -37.1 eV/cell
Fermi-level density of states   1.133 states/eV/atom



Q: Which value of electronic total energy does entry 2 give?
A: -37.0 eV/cell